The following is a DFT calculation (PBE with a Hubbard U) of a geometry-optimized LaScCo2O structure.

Structure (POSCAR):
```
LaScCo2O
1.0
4.205 0.000 0.000
0.000 6.652 0.000
0.000 0.000 4.205
Sc Co O La
1 2 1 1
Cartesian
0.000 3.326 0.000 Sc
0.000 0.000 2.102 Co
2.102 0.000 0.000 Co
2.102 3.326 2.102 O
0.000 0.000 0.000 La
```

Calculated values
Theoretical density   4.49 g/cm³
Electronic total energy   -3.652 eV/atom